No. 1
This record from Alexandria describes a geometry-optimized Tb8Pd2Rh structure. The functional is PBE.

The structure belongs to space group Cm (No. 8); the cell edges are 8.256, 13.122 and 5.987 Å and the angles 90.00°, 110.83° and 90.00°. The asymmetric unit holds Tb at (0.000, 0.000, 0.000), Tb at (0.072, 0.375, 0.769), Tb at (0.143, 0.125, 0.560), Tb at (0.219, 0.500, 0.353), Tb at (0.358, 0.207, 0.174), Pd at (0.361, 0.304, 0.676) and Rh at (0.363, 0.000, 0.319).

For the energy above the most stable polymorph in this dataset, the calculation gives 0.0931 eV/atom.


No. 2
This record from Alexandria describes a geometry-optimized Tb7Pd2Rh2 structure. The functional is PBE.

The structure belongs to space group Imm2 (No. 44); the cell edges are 3.861, 15.173 and 9.471 Å and the angles 90.00°, 90.00° and 90.00°. The asymmetric unit holds Tb at (0.000, 0.000, 0.000), Tb at (0.000, 0.117, 0.607), Tb at (0.000, 0.311, 0.399), Tb at (0.000, 0.371, 0.759), Pd at (0.000, 0.000, 0.360), Pd at (0.000, 0.500, 0.270) and Rh at (0.000, 0.240, 0.105).

For the energy above the most stable polymorph in this dataset, the calculation gives 0.0000 eV/atom.


No. 3
This record from Alexandria describes a geometry-optimized Tb5PdRh2 structure. The functional is PBE.

The structure belongs to space group I4/mcm (No. 140); the cell edges are 7.592, 7.592 and 13.488 Å and the angles 90.00°, 90.00° and 90.00°. The asymmetric unit holds Tb at (0.000, 0.000, 0.000), Tb at (0.164, 0.336, 0.140), Pd at (0.000, 0.000, 0.250) and Rh at (0.137, 0.363, 0.500).


No. 4
This record from Alexandria describes a geometry-optimized Tb4PdRh3 structure. The functional is PBE.

The structure belongs to space group P4/mmm (No. 123); the cell edges are 4.873, 4.873 and 6.980 Å and the angles 90.00°, 90.00° and 90.00°. The asymmetric unit holds Tb at (0.000, 0.500, 0.247), Pd at (0.000, 0.000, 0.500), Rh at (0.000, 0.000, 0.000), Rh at (0.500, 0.500, 0.000) and Rh at (0.500, 0.500, 0.500).


No. 5
This record from Alexandria describes a geometry-optimized Tb3PdRh8 structure. The functional is PBE.

The structure belongs to space group R3m (No. 160, hexagonal axes); the cell edges are 5.2900, 5.2900 and 25.9758 Å and the angles 90.00°, 90.00° and 120.00°. The asymmetric unit holds Tb at (0.0000, 0.0000, 0.0000), Tb at (0.0000, 0.0000, 0.1310), Tb at (0.0000, 0.0000, 0.5171), Pd at (0.0000, 0.0000, 0.6384), Rh at (0.0000, 0.0000, 0.3188), Rh at (0.0000, 0.0000, 0.8190), Rh at (0.9999, 0.4999, 0.0685) and Rh at (0.1673, 0.3345, 0.9026).


No. 6
This record from Alexandria describes a geometry-optimized Tb2Zn5Pd2Rh structure. The functional is PBE.

The structure belongs to space group P4/mbm (No. 127); the cell edges are 9.564, 9.564 and 3.908 Å and the angles 90.00°, 90.00° and 90.00°. The asymmetric unit holds Tb at (0.180, 0.320, 0.000), Zn at (0.000, 0.500, 0.500), Zn at (0.053, 0.810, 0.500), Pd at (0.119, 0.619, 0.000) and Rh at (0.000, 0.000, 0.000).


No. 7
This record from Alexandria describes a geometry-optimized Tb2Zn5PdRh2 structure. The functional is PBE.

The structure belongs to space group P4/mbm (No. 127); the cell edges are 9.536, 9.536 and 3.875 Å and the angles 90.00°, 90.00° and 90.00°. The asymmetric unit holds Tb at (0.178, 0.322, 0.000), Zn at (0.000, 0.500, 0.500), Zn at (0.055, 0.805, 0.500), Pd at (0.000, 0.000, 0.000) and Rh at (0.123, 0.623, 0.000).


No. 8
This record from Alexandria describes a geometry-optimized TbZrPdRh structure. The functional is PBE.

The structure belongs to space group F-43m (No. 216); the cell edges are 6.803, 6.803 and 6.803 Å and the angles 90.00°, 90.00° and 90.00°. The asymmetric unit holds Tb at (0.000, 0.000, 0.000), Zr at (0.000, 0.000, 0.500), Pd at (0.250, 0.250, 0.250) and Rh at (0.250, 0.250, 0.750).


No. 9
This record from Alexandria describes a geometry-optimized TcPdRh structure. The functional is PBE.

The structure belongs to space group Cmcm (No. 63); the cell edges are 3.914, 11.612 and 3.881 Å and the angles 90.00°, 90.00° and 90.00°. The asymmetric unit holds Tc at (0.000, 0.073, 0.250), Pd at (0.000, 0.252, 0.750) and Rh at (0.000, 0.424, 0.250).

For the energy above the most stable polymorph in this dataset, the calculation gives 0.0215 eV/atom.


No. 10
This record from Alexandria describes a geometry-optimized TcPdRh3 structure. The functional is PBE.

The structure belongs to space group Pm-3m (No. 221); the cell edges are 4.618, 4.618 and 4.618 Å and the angles 90.00°, 90.00° and 90.00°. The asymmetric unit holds Tc at (0.000, 0.000, 0.000), Pd at (0.500, 0.500, 0.500) and Rh at (0.000, 0.000, 0.500).

For the energy above the most stable polymorph in this dataset, the calculation gives 1.2598 eV/atom.


No. 11
This record from Alexandria describes a geometry-optimized TcPd2Rh2 structure. The functional is PBE.

The structure belongs to space group I4/mmm (No. 139); the cell edges are 2.731, 2.731 and 19.692 Å and the angles 90.00°, 90.00° and 90.00°. The asymmetric unit holds Tc at (0.000, 0.000, 0.000), Pd at (0.000, 0.000, 0.198) and Rh at (0.000, 0.000, 0.406).


No. 12
This record from Alexandria describes a geometry-optimized TcPdRh structure. The functional is PBE.

The structure belongs to space group P3m1 (No. 156); the cell edges are 2.7411, 2.7411 and 6.7590 Å and the angles 90.00°, 90.00° and 120.00°. The asymmetric unit holds Tc at (0.0000, 0.0000, 0.0000), Pd at (0.3333, 0.6667, 0.6613) and Rh at (0.6667, 0.3333, 0.3124).

For the energy above the most stable polymorph in this dataset, the calculation gives 0.0450 eV/atom.


No. 13
This record from Alexandria describes a geometry-optimized Tc2PdRh structure. The functional is PBE.

The structure belongs to space group I-42d (No. 122); the cell edges are 7.039, 7.039 and 5.225 Å and the angles 90.00°, 90.00° and 90.00°. The asymmetric unit holds Tc at (0.223, 0.750, 0.125), Pd at (0.000, 0.000, 0.500) and Rh at (0.000, 0.000, 0.000).

For the energy above the most stable polymorph in this dataset, the calculation gives 0.6200 eV/atom.


No. 14
This record from Alexandria describes a geometry-optimized TcPdRh3 structure. The functional is PBE.

The structure belongs to space group C2/m (No. 12); the cell edges are 13.978, 3.853 and 5.478 Å and the angles 90.00°, 101.41° and 90.00°. The asymmetric unit holds Tc at (0.206, 0.000, 0.364), Pd at (0.100, 0.500, 0.050), Rh at (0.003, 0.000, 0.256), Rh at (0.102, 0.500, 0.546) and Rh at (0.202, 0.000, 0.846).

For the energy above the most stable polymorph in this dataset, the calculation gives 0.0000 eV/atom.


No. 15
This record from Alexandria describes a geometry-optimized Tc2PdRh2 structure. The functional is PBE.

The structure belongs to space group P4/mbm (No. 127); the cell edges are 7.498, 7.498 and 2.729 Å and the angles 90.00°, 90.00° and 90.00°. The asymmetric unit holds Tc at (0.121, 0.379, 0.000), Pd at (0.000, 0.000, 0.000) and Rh at (0.170, 0.670, 0.500).


No. 16
This record from Alexandria describes a geometry-optimized Tc2PdRh structure. The functional is PBE.

The structure belongs to space group Fm-3m (No. 225); the cell edges are 6.206, 6.206 and 6.206 Å and the angles 90.00°, 90.00° and 90.00°. The asymmetric unit holds Tc at (0.250, 0.250, 0.250), Pd at (0.000, 0.000, 0.000) and Rh at (0.000, 0.000, 0.500).

For the energy above the most stable polymorph in this dataset, the calculation gives 0.4206 eV/atom.


No. 17
This record from Alexandria describes a geometry-optimized TcPdRh structure. The functional is PBE.

The structure belongs to space group I4mm (No. 107); the cell edges are 2.728, 2.728 and 11.778 Å and the angles 90.00°, 90.00° and 90.00°. The asymmetric unit holds Tc at (0.000, 0.000, 0.000), Pd at (0.000, 0.000, 0.332) and Rh at (0.000, 0.000, 0.654).

For the energy above the most stable polymorph in this dataset, the calculation gives 0.0000 eV/atom.


No. 18
This record from Alexandria describes a geometry-optimized TcPdRh4 structure. The functional is PBE.

The structure belongs to space group Pmmm (No. 47); the cell edges are 2.721, 3.874 and 8.195 Å and the angles 90.00°, 90.00° and 90.00°. The asymmetric unit holds Tc at (0.000, 0.000, 0.000), Pd at (0.500, 0.500, 0.500), Rh at (0.000, 0.000, 0.327) and Rh at (0.500, 0.500, 0.160).


No. 19
This record from Alexandria describes a geometry-optimized Tc2PdRh structure. The functional is PBE.

The structure belongs to space group R-3m (No. 166, hexagonal axes); the cell edges are 2.7256, 2.7256 and 27.1650 Å and the angles 90.00°, 90.00° and 120.00°. The asymmetric unit holds Tc at (0.0000, 0.0000, 0.2483), Pd at (0.0000, 0.0000, 0.0000) and Rh at (0.0000, 0.0000, 0.5000).

For the energy above the most stable polymorph in this dataset, the calculation gives 0.0000 eV/atom.


No. 20
This record from Alexandria describes a geometry-optimized TcPd3Rh12 structure. The functional is PBE.

The structure belongs to space group P4/mmm (No. 123); the cell edges are 3.857, 3.857 and 15.471 Å and the angles 90.00°, 90.00° and 90.00°. The asymmetric unit holds Tc at (0.000, 0.000, 0.000), Pd at (0.000, 0.000, 0.251), Pd at (0.000, 0.000, 0.500), Rh at (0.000, 0.500, 0.121), Rh at (0.000, 0.500, 0.375), Rh at (0.500, 0.500, 0.000), Rh at (0.500, 0.500, 0.248) and Rh at (0.500, 0.500, 0.500).


No. 21
This record from Alexandria describes a geometry-optimized Tc2PdRh2 structure. The functional is PBE.

The structure belongs to space group P4/mbm (No. 127); the cell edges are 7.487, 7.487 and 2.716 Å and the angles 90.00°, 90.00° and 90.00°. The asymmetric unit holds Tc at (0.172, 0.328, 0.000), Pd at (0.000, 0.000, 0.500) and Rh at (0.124, 0.624, 0.500).


No. 22
This record from Alexandria describes a geometry-optimized TcPd2Rh5 structure. The functional is PBE.

The structure belongs to space group I4/mmm (No. 139); the cell edges are 3.867, 3.867 and 15.507 Å and the angles 90.00°, 90.00° and 90.00°. The asymmetric unit holds Tc at (0.000, 0.000, 0.000), Pd at (0.000, 0.000, 0.252), Rh at (0.000, 0.000, 0.500) and Rh at (0.000, 0.500, 0.119).


No. 23
This record from Alexandria describes a geometry-optimized TcPdRh structure. The functional is PBE.

The structure belongs to space group C2/m (No. 12); the cell edges are 17.235, 4.312 and 5.410 Å and the angles 90.00°, 98.25° and 90.00°. The asymmetric unit holds Tc at (0.223, 0.000, 0.108), Tc at (0.224, 0.000, 0.620), Pd at (0.005, 0.500, 0.752), Pd at (0.087, 0.000, 0.306), Rh at (0.137, 0.500, 0.058) and Rh at (0.140, 0.500, 0.586).

For the energy above the most stable polymorph in this dataset, the calculation gives 0.3022 eV/atom.


Number 1: ΔH_f (0 K) -378 meV/atom. Number 2: ΔH_f (0 K) -655 meV/atom. Number 3: ΔH_f (0 K) -698 meV/atom. Number 4: ΔH_f (0 K) -857 meV/atom. Number 5: ΔH_f (0 K) -552 meV/atom. Number 6: ΔH_f (0 K) -488 meV/atom. Number 7: ΔH_f (0 K) -493 meV/atom. Number 8: ΔH_f (0 K) -706 meV/atom. Number 9: ΔH_f (0 K) -33 meV/atom. Number 10: ΔH_f (0 K) 1249 meV/atom. Number 11: ΔH_f (0 K) -78 meV/atom. Number 12: ΔH_f (0 K) -9 meV/atom. Number 13: ΔH_f (0 K) 678 meV/atom. Number 14: ΔH_f (0 K) -11 meV/atom. Number 15: ΔH_f (0 K) 135 meV/atom. Number 16: ΔH_f (0 K) 479 meV/atom. Number 17: ΔH_f (0 K) -54 meV/atom. Number 18: ΔH_f (0 K) -8 meV/atom. Number 19: ΔH_f (0 K) 58 meV/atom. Number 20: ΔH_f (0 K) 31 meV/atom. Number 21: ΔH_f (0 K) 135 meV/atom. Number 22: ΔH_f (0 K) -32 meV/atom. Number 23: ΔH_f (0 K) 248 meV/atom.